Entry 1:
A plane-wave DFT calculation with GGA-PBE was carried out for a relaxed structure of YAlSe3.

It has space group I-4m2 (No. 119), with a = 5.489 Å, b = 5.489 Å, c = 20.085 Å, α = 90.00°, β = 90.00° and γ = 90.00°. The inequivalent atoms are Y at (0.000, 0.000, 0.000), Y at (0.000, 0.500, 0.250), Al at (0.000, 0.500, 0.678), Se at (0.000, 0.000, 0.289) and Se at (0.000, 0.266, 0.113).

For the total moment, the calculation gives 0.0000 μB/atom. As for the energy above the most stable polymorph in this dataset: 0.734 eV per atom.

***

Entry 2:
A plane-wave DFT calculation with GGA-PBE was carried out for a relaxed structure of CdHg2Pb.

It has space group R3m (No. 160, hexagonal axes), with a = 3.5898 Å, b = 3.5898 Å, c = 28.8976 Å, α = 90.00°, β = 90.00° and γ = 120.00°. The inequivalent atoms are Cd at (0.0000, 0.0000, 0.0000), Hg at (0.0000, 0.0000, 0.4102), Hg at (0.0000, 0.0000, 0.5892) and Pb at (0.0000, 0.0000, 0.1662).

For the total moment, the calculation gives 0.0000 μB/atom. The calculated formation energy comes out at 0.13 eV/f.u.

***

Entry 3:
A plane-wave DFT calculation with GGA-PBE was carried out for a relaxed structure of Co3Ni8Pd.

It has space group P6_3mc (No. 186), with a = 8.0606 Å, b = 8.0606 Å, c = 4.9243 Å, α = 90.00°, β = 90.00° and γ = 120.00°. The inequivalent atoms are Co at (0.1728, 0.3456, 0.0000), Ni at (0.0000, 0.0000, 0.2595), Ni at (0.0108, 0.5054, 0.6973), Ni at (0.1615, 0.3230, 0.5015), Ni at (0.3333, 0.6667, 0.8389) and Pd at (0.3333, 0.6667, 0.3398).

For the total moment, the calculation gives 0.9147 μB/atom. The calculated formation energy comes out at 1.65 eV/f.u.

***

Entry 4:
A plane-wave DFT calculation with GGA-PBE was carried out for a relaxed structure of TlIn3Br4.

It has space group Pmn2_1 (No. 31), with a = 11.456 Å, b = 9.633 Å, c = 6.659 Å, α = 90.00°, β = 90.00° and γ = 90.00°. The inequivalent atoms are Tl at (0.000, 0.176, 0.000), In at (0.000, 0.838, 0.500), In at (0.248, 0.669, 0.999), Br at (0.000, 0.178, 0.500), Br at (0.000, 0.838, 0.002) and Br at (0.243, 0.666, 0.499).

For the total moment, the calculation gives 0.0000 μB/atom. As for the energy above the most stable polymorph in this dataset: 0.032 eV per atom.

***

Entry 5:
A plane-wave DFT calculation with GGA-PBE was carried out for a relaxed structure of CuOsW.

It has space group P3m1 (No. 156), with a = 4.3143 Å, b = 4.3143 Å, c = 2.6857 Å, α = 90.00°, β = 90.00° and γ = 120.00°. The inequivalent atoms are Cu at (0.0000, 0.0000, 0.0000), Os at (0.3333, 0.6667, 0.3283) and W at (0.6667, 0.3333, 0.6336).

For the total moment, the calculation gives 0.0000 μB/atom. As for the energy above the most stable polymorph in this dataset: 0.093 eV per atom. The calculated formation energy comes out at 0.76 eV/f.u.

***

Entry 6:
A plane-wave DFT calculation with GGA-PBE was carried out for a relaxed structure of Ga3Cu4Au2.

It has space group C2/c (No. 15), with a = 12.182 Å, b = 9.435 Å, c = 4.749 Å, α = 90.00°, β = 90.33° and γ = 90.00°. The inequivalent atoms are Ga at (0.000, 0.055, 0.250), Ga at (0.110, 0.422, 0.974), Cu at (0.064, 0.294, 0.463), Cu at (0.133, 0.161, 0.896) and Au at (0.229, 0.106, 0.394).

For the total moment, the calculation gives 0.0000 μB/atom. As for the energy above the most stable polymorph in this dataset: 0.015 eV per atom. The calculated formation energy comes out at -0.35 eV/f.u.

***

Entry 7:
A plane-wave DFT calculation with GGA-PBE was carried out for a relaxed structure of LiDyAu.

It has space group Immm (No. 71), with a = 3.475 Å, b = 4.896 Å, c = 16.367 Å, α = 90.00°, β = 90.00° and γ = 90.00°. The inequivalent atoms are Li at (0.000, 0.248, 0.000), Dy at (0.000, 0.000, 0.327) and Au at (0.000, 0.000, 0.146).

For the total moment, the calculation gives 0.0000 μB/atom. As for the energy above the most stable polymorph in this dataset: 0.188 eV per atom. The calculated formation energy comes out at -1.29 eV/f.u.

***

Entry 8:
A plane-wave DFT calculation with GGA-PBE was carried out for a relaxed structure of LaH7Pt2.

It has space group Cmmm (No. 65), with a = 4.887 Å, b = 10.428 Å, c = 3.649 Å, α = 90.00°, β = 90.00° and γ = 90.00°. The inequivalent atoms are La at (0.000, 0.000, 0.000), H at (0.000, 0.335, 0.000), H at (0.000, 0.500, 0.500), H at (0.160, 0.138, 0.500) and Pt at (0.000, 0.329, 0.500).

The total energy is -4.3109 eV/atom. For the total moment, the calculation gives 0.0000 μB/atom.

***

Entry 9:
A plane-wave DFT calculation with GGA-PBE was carried out for a relaxed structure of MgSc2Al.

It has space group Imm2 (No. 44), with a = 3.396 Å, b = 4.959 Å, c = 10.180 Å, α = 90.00°, β = 90.00° and γ = 90.00°. The inequivalent atoms are Mg at (0.000, 0.000, 0.000), Sc at (0.000, 0.000, 0.534), Sc at (0.000, 0.500, 0.767) and Al at (0.000, 0.500, 0.279).

For the total moment, the calculation gives 0.0000 μB/atom. As for the energy above the most stable polymorph in this dataset: 0.117 eV per atom. The calculated formation energy comes out at -0.68 eV/f.u.

***

Entry 10:
A plane-wave DFT calculation with GGA-PBE was carried out for a relaxed structure of Cr2TcBr.

It has space group I-42d (No. 122), with a = 6.437 Å, b = 6.437 Å, c = 8.305 Å, α = 90.00°, β = 90.00° and γ = 90.00°. The inequivalent atoms are Cr at (0.222, 0.750, 0.125), Tc at (0.000, 0.000, 0.000) and Br at (0.000, 0.000, 0.500).

For the total moment, the calculation gives 1.4888 μB/atom. As for the energy above the most stable polymorph in this dataset: 0.454 eV per atom.

***

Entry 11:
A plane-wave DFT calculation with GGA-PBE was carried out for a relaxed structure of LaHg2Os.

It has space group Imm2 (No. 44), with a = 3.321 Å, b = 4.598 Å, c = 12.996 Å, α = 90.00°, β = 90.00° and γ = 90.00°. The inequivalent atoms are La at (0.000, 0.000, 0.000), Hg at (0.000, 0.000, 0.357), Hg at (0.000, 0.500, 0.187) and Os at (0.000, 0.500, 0.676).

For the total moment, the calculation gives 0.0000 μB/atom. The calculated formation energy comes out at 0.70 eV/f.u.

***

Entry 12:
A plane-wave DFT calculation with GGA-PBE was carried out for a relaxed structure of BaBe2Si2.

It has space group I4/mmm (No. 139), with a = 4.250 Å, b = 4.250 Å, c = 9.867 Å, α = 90.00°, β = 90.00° and γ = 90.00°. The inequivalent atoms are Ba at (0.000, 0.000, 0.000), Be at (0.000, 0.500, 0.250) and Si at (0.000, 0.000, 0.369).

The total energy is -4.1364 eV/atom. For the total moment, the calculation gives 0.0000 μB/atom.

***

Entry 13:
A plane-wave DFT calculation with GGA-PBE was carried out for a relaxed structure of TlHgRh2.

It has space group P4/mmm (No. 123), with a = 4.641 Å, b = 4.641 Å, c = 3.281 Å, α = 90.00°, β = 90.00° and γ = 90.00°. The inequivalent atoms are Tl at (0.000, 0.000, 0.000), Hg at (0.500, 0.500, 0.000) and Rh at (0.000, 0.500, 0.500).

For the total moment, the calculation gives 0.0000 μB/atom. The calculated formation energy comes out at 0.41 eV/f.u.

***

Entry 14:
A plane-wave DFT calculation with GGA-PBE was carried out for a relaxed structure of AcNb2S6.

It has space group C2/m (No. 12), with a = 11.924 Å, b = 4.967 Å, c = 8.838 Å, α = 90.00°, β = 120.12° and γ = 90.00°. The inequivalent atoms are Ac at (0.000, 0.000, 0.000), Nb at (0.191, 0.000, 0.575), S at (0.023, 0.000, 0.679), S at (0.162, 0.500, 0.115) and S at (0.198, 0.500, 0.598).

The total energy is -6.5915 eV/atom. For the total moment, the calculation gives 0.0000 μB/atom.

***

Entry 15:
A plane-wave DFT calculation with GGA-PBE was carried out for a relaxed structure of MgZn2CuNi.

It has space group P4/mmm (No. 123), with a = 4.478 Å, b = 4.478 Å, c = 4.503 Å, α = 90.00°, β = 90.00° and γ = 90.00°. The inequivalent atoms are Mg at (0.000, 0.000, 0.000), Zn at (0.000, 0.500, 0.500), Cu at (0.500, 0.500, 0.500) and Ni at (0.500, 0.500, 0.000).

For the total moment, the calculation gives 0.0000 μB/atom. The calculated formation energy comes out at 1.90 eV/f.u.

***

Entry 16:
A plane-wave DFT calculation with GGA-PBE was carried out for a relaxed structure of NaTh2F9.

It has space group I-42m (No. 121), with a = 8.863 Å, b = 8.863 Å, c = 8.687 Å, α = 90.00°, β = 90.00° and γ = 90.00°. The inequivalent atoms are Na at (0.000, 0.500, 0.000), Th at (0.185, 0.185, 0.307), F at (0.000, 0.000, 0.275), F at (0.000, 0.239, 0.500), F at (0.051, 0.303, 0.802) and F at (0.211, 0.211, 0.049).

The total energy is -6.6796 eV/atom. For the total moment, the calculation gives 0.0000 μB/atom.

***

Entry 17:
A plane-wave DFT calculation with GGA-PBE was carried out for a relaxed structure of MgTiHgPd.

It has space group F-43m (No. 216), with a = 6.558 Å, b = 6.558 Å, c = 6.558 Å, α = 90.00°, β = 90.00° and γ = 90.00°. The inequivalent atoms are Mg at (0.000, 0.000, 0.000), Ti at (0.000, 0.000, 0.500), Hg at (0.250, 0.250, 0.250) and Pd at (0.250, 0.250, 0.750).

For the total moment, the calculation gives 0.0001 μB/atom. The calculated formation energy comes out at -1.35 eV/f.u.

***

Entry 18:
A plane-wave DFT calculation with GGA-PBE was carried out for a relaxed structure of Y2ThNi9.

It has space group R-3m (No. 166, hexagonal axes), with a = 4.9941 Å, b = 4.9941 Å, c = 24.5630 Å, α = 90.00°, β = 90.00° and γ = 120.00°. The inequivalent atoms are Y at (0.0000, 0.0000, 0.1401), Th at (0.0000, 0.0000, 0.0000), Ni at (0.0000, 0.0000, 0.3331), Ni at (0.0000, 0.0000, 0.5000) and Ni at (0.9996, 0.4998, 0.0827).

For the total moment, the calculation gives 0.0000 μB/atom. The calculated formation energy comes out at -5.13 eV/f.u.

***

Entry 19:
A plane-wave DFT calculation with GGA-PBE was carried out for a relaxed structure of LaPm2Y.

It has space group Fm-3m (No. 225), with a = 8.240 Å, b = 8.240 Å, c = 8.240 Å, α = 90.00°, β = 90.00° and γ = 90.00°. The inequivalent atoms are La at (0.000, 0.000, 0.000), Pm at (0.250, 0.250, 0.250) and Y at (0.000, 0.000, 0.500).

For the total moment, the calculation gives 0.3862 μB/atom. As for the energy above the most stable polymorph in this dataset: 0.135 eV per atom. The calculated formation energy comes out at 0.57 eV/f.u.

***

Entry 20:
A plane-wave DFT calculation with GGA-PBE was carried out for a relaxed structure of Ac3Be2MoN6.

It has space group P-3m1 (No. 164), with a = 5.6726 Å, b = 5.6726 Å, c = 6.5243 Å, α = 90.00°, β = 90.00° and γ = 120.00°. The inequivalent atoms are Ac at (0.0000, 0.0000, 0.0000), Ac at (0.3333, 0.6667, 0.6613), Be at (0.3333, 0.6667, 0.2512), Mo at (0.0000, 0.0000, 0.5000) and N at (0.1710, 0.3420, 0.3112).

The total energy is -7.6046 eV/atom. For the total moment, the calculation gives 0.0000 μB/atom.

***

Entry 21:
A plane-wave DFT calculation with GGA-PBE was carried out for a relaxed structure of CaSnO3.

It has space group R-3 (No. 148, hexagonal axes), with a = 5.5687 Å, b = 5.5687 Å, c = 15.4796 Å, α = 90.00°, β = 90.00° and γ = 120.00°. The inequivalent atoms are Ca at (0.0000, 0.0000, 0.1373), Sn at (0.0000, 0.0000, 0.3457) and O at (0.0200, 0.6321, 0.9237).

The total energy is -6.4373 eV/atom. For the total moment, the calculation gives 0.0000 μB/atom.

***

Entry 22:
A plane-wave DFT calculation with GGA-PBE was carried out for a relaxed structure of NaNp4O10.

It has space group I4/mmm (No. 139), with a = 3.762 Å, b = 3.762 Å, c = 27.308 Å, α = 90.00°, β = 90.00° and γ = 90.00°. The inequivalent atoms are Na at (0.000, 0.000, 0.000), Np at (0.000, 0.000, 0.199), Np at (0.000, 0.000, 0.404), O at (0.000, 0.500, 0.059), O at (0.000, 0.500, 0.153) and O at (0.000, 0.500, 0.250).

The total energy is -9.6579 eV/atom. For the total moment, the calculation gives 0.6000 μB/atom.

***

Entry 23:
A plane-wave DFT calculation with GGA-PBE was carried out for a relaxed structure of KCrIr2.

It has space group Cmmm (No. 65), with a = 2.964 Å, b = 4.724 Å, c = 9.719 Å, α = 90.00°, β = 90.00° and γ = 90.00°. The inequivalent atoms are K at (0.000, 0.000, 0.000), Cr at (0.000, 0.000, 0.500) and Ir at (0.000, 0.500, 0.291).

For the total moment, the calculation gives 0.7775 μB/atom. As for the energy above the most stable polymorph in this dataset: 0.202 eV per atom. The calculated formation energy comes out at 2.13 eV/f.u.